VASP calculation (PBE) on a relaxed structure of Sm8Ge5As. Values from VASP.

Quantum ESPRESSO input file:
```
&SYSTEM
  ibrav = 0, nat = 14, ntyp = 3
/
ATOMIC_SPECIES
As 74.92 As.upf
Sm 150.36 Sm.upf
Ge 72.64 Ge.upf
CELL_PARAMETERS angstrom
-4.5567 4.7865 -4.1837
6.8651 -0.9016 -3.6379
-3.4965 -6.9585 0.7280
ATOMIC_POSITIONS crystal
As 0.2500 0.5000 0.7500
Sm 0.7555 0.2497 0.3741
Sm 0.4942 0.6186 0.2445
Sm 0.1243 0.7488 0.0063
Ge 0.8753 0.8758 0.2499
Ge 0.7501 0.6255 0.6259
Ge 0.0005 0.3745 0.1247
Ge 0.3741 0.1242 0.9995
Sm 0.9937 0.1180 0.7425
Sm 0.2575 0.2512 0.3755
Sm 0.6259 0.3814 0.8756
Sm 0.6245 0.8820 0.8757
Sm 0.1244 0.7503 0.5058
Ge 0.5000 0.0000 0.5000
```

energy	-5.591	eV/atom
space group	I-4 (82)